This record from the Alexandria database describes crystalline Sr4LiTl at its relaxed geometry. The functional is GGA-PBE.

- Mass density: 3122 kg/m³
- Energy of formation from the pure elements: 0.33 eV per atom
- Offset from the most stable computed form: 0.460 eV/atom

a b c (Å): 7.504 7.504 7.504
angles (deg): 60.00 60.00 60.00
Atoms (fractional coordinates):
Tl (0.750, 0.750, 0.750)
Sr (0.375, 0.375, 0.375)
Li (0.000, 0.000, 0.000)
Sr (0.874, 0.375, 0.375)
Sr (0.375, 0.874, 0.375)
Sr (0.375, 0.375, 0.874)

---

This record from the Alexandria database describes crystalline SrLi6Tl at its relaxed geometry. The functional is GGA-PBE.

- Mass density: 2984 kg/m³
- Energy of formation from the pure elements: 0.00 eV per atom

a b c (Å): 5.705 5.705 5.705
angles (deg): 90.00 90.00 90.00
Atoms (fractional coordinates):
Li (0.500, 0.778, 0.000)
Li (0.500, 0.222, 0.000)
Li (0.000, 0.500, 0.222)
Li (0.778, 0.000, 0.500)
Li (0.222, 0.000, 0.500)
Tl (0.000, 0.000, 0.000)
Sr (0.500, 0.500, 0.500)
Li (0.000, 0.500, 0.778)

---

This record from the Alexandria database describes crystalline Sr3Li2Tl at its relaxed geometry. The functional is GGA-PBE.

- Mass density: 3653 kg/m³
- Energy of formation from the pure elements: -0.14 eV per atom
- Offset from the most stable computed form: 0.017 eV/atom

a b c (Å): 4.188 4.188 12.469
angles (deg): 90.00 90.00 90.00
Atoms (fractional coordinates):
Li (0.500, 0.500, 0.173)
Sr (0.000, 0.000, 0.345)
Tl (0.500, 0.500, 0.500)
Li (0.500, 0.500, 0.827)
Sr (0.000, 0.000, 0.000)
Sr (0.000, 0.000, 0.655)